{"formula": "Ba3AgPt8", "functional": "GGA-PBE", "state": "relaxed", "lattice_angstrom": [[5.6243, 0.0000, 0.0000], [-2.8122, 4.8708, 0.0000], [0.0000, 0.0000, 9.2280]], "species": ["Ba", "Ba", "Ba", "Ag", "Pt", "Pt", "Pt", "Pt", "Pt", "Pt", "Pt", "Pt"], "fractional_positions": [[0.0000, 0.0000, 0.0000], [0.0000, 0.0000, 0.3754], [0.3333, 0.6667, 0.8444], [0.3333, 0.6667, 0.4608], [0.0020, 0.5010, 0.1872], [0.3326, 0.1663, 0.6750], [0.4990, 0.5010, 0.1872], [0.4990, 0.9980, 0.1872], [0.6667, 0.3333, 0.4343], [0.6667, 0.3333, 0.9351], [0.8337, 0.1663, 0.6750], [0.8337, 0.6674, 0.6750]], "e_form_ev_per_atom": -0.490, "e_tot_ev_per_atom": -5.236, "crystal_system": "trigonal", "spacegroup": "P3m1", "relative_energy_mev_per_atom": 71, "n_ef_per_ev_atom": 0.614}



{"formula": "YS2O", "functional": "GGA-PBE", "state": "relaxed", "lattice_angstrom": [[2.0663, 1.1930, 6.3127], [-2.0663, 1.1930, 6.3127], [0.0000, -2.3860, 6.3127]], "species": ["Y", "S", "S", "O"], "fractional_positions": [[0.0000, 0.0000, 0.0000], [0.4052, 0.4052, 0.4052], [0.5948, 0.5948, 0.5948], [0.5000, 0.5000, 0.5000]], "e_tot_ev_per_atom": -5.785, "raw_formation_energy_kj_per_mol_atoms": -84, "crystal_system": "trigonal", "spacegroup": "R-3m", "n_ef_per_ev_atom": 0.882}